5
Lattice="4.1382 0.0000 0.0000 0.0000 4.1382 0.0000 0.0000 0.0000 6.6545" Properties=species:S:1:pos:R:3 comment="NbWClF2 GGA+U optimized geometry" energy_ev_per_cell=-25.490 sg="P4/mmm, No. 123" pbc="T T T"
Nb 0.0000 0.0000 0.0000
W 2.0691 2.0691 3.3273
Cl 2.0691 2.0691 0.0000
F 0.0000 2.0691 3.3273
F 2.0691 0.0000 3.3273